[1]
Computed, not measured: crystalline MgScSi2 at its relaxed geometry at the PBE-GGA level of DFT.

Calculated values
raw total energy	-4.8988	eV/atom
raw formation energy	-206	meV/atom
volume	70.1	Å³/cell
SG	P4/mmm (123)

Cell lengths 2.9729, 2.9729, 7.9340 Å; angles 90.00, 90.00, 90.00 degrees
Last column: nearest neighbours and their distance in Å.
Atoms (fractional coordinates):
Mg  0.0000  0.0000  0.0000  8 Si 2.91, 4 Mg 2.97
Sc  0.0000  0.0000  0.5000  8 Si 2.88, 4 Sc 2.97
Si  0.5000  0.5000  0.2528  4 Sc 2.88, 4 Mg 2.91, 4 Si 2.97
Si  0.5000  0.5000  0.7472  4 Sc 2.88, 4 Mg 2.91, 4 Si 2.97



[2]
Computed, not measured: crystalline MgSc2Si at its relaxed geometry at the PBE-GGA level of DFT.

Calculated values
raw total energy	-4.8622	eV/atom
raw formation energy	58	meV/atom
volume	78.9	Å³/cell
SG	F-43m (216)

Cell lengths 4.8150, 4.8150, 4.8150 Å; angles 60.00, 60.00, 60.00 degrees
Last column: nearest neighbours and their distance in Å.
Atoms (fractional coordinates):
Mg  0.0000  0.0000  0.0000  4 Sc 2.95, 4 Si 2.95
Sc  0.5000  0.5000  0.5000  4 Sc 2.95, 4 Si 2.95
Sc  0.7500  0.7500  0.7500  4 Sc 2.95, 4 Mg 2.95
Si  0.2500  0.2500  0.2500  4 Sc 2.95, 4 Mg 2.95



[3]
Computed, not measured: crystalline MgScSi2 at its relaxed geometry at the PBE-GGA level of DFT.

Calculated values
raw total energy	-5.0093	eV/atom
raw formation energy	-316	meV/atom
volume	68.5	Å³/cell
SG	P4/mmm (123)

Cell lengths 4.1911, 4.1911, 3.8989 Å; angles 90.00, 90.00, 90.00 degrees
Last column: nearest neighbours and their distance in Å.
Atoms (fractional coordinates):
Mg  0.0000  0.0000  0.0000  8 Si 2.86, 4 Sc 2.96
Sc  0.5000  0.5000  0.0000  8 Si 2.86, 4 Mg 2.96
Si  0.0000  0.5000  0.5000  4 Mg 2.86, 4 Sc 2.86, 4 Si 2.96
Si  0.5000  0.0000  0.5000  4 Mg 2.86, 4 Sc 2.86, 4 Si 2.96



[4]
Computed, not measured: crystalline MgScSi2 at its relaxed geometry at the PBE-GGA level of DFT.

Calculated values
raw total energy	-4.7945	eV/atom
raw formation energy	-101	meV/atom
volume	74.8	Å³/cell
SG	R-3m (166)

Cell lengths 8.5241, 8.5241, 8.5241 Å; angles 21.79, 21.79, 21.79 degrees
Last column: nearest neighbours and their distance in Å.
Atoms (fractional coordinates):
Mg  0.0000  0.0000  0.0000  6 Si 2.79
Sc  0.5000  0.5000  0.5000  6 Si 2.79
Si  0.2500  0.2500  0.2500  3 Sc 2.79, 3 Mg 2.79
Si  0.7500  0.7500  0.7500  3 Sc 2.79, 3 Mg 2.79